Entry from Alexandria: a relaxed structure of HoMn5Si3 (PBE-GGA).

Lattice parameters (Å, degrees): 3.8339 12.1230 11.0549 90.00 90.00 90.00
Space group Cmcm (No. 63)
Symmetry-distinct sites (fractional):
1 Ho 0.0000 0.1691 0.2500 x4
2 Mn 0.0000 0.0000 0.0000 x4
3 Mn 0.0000 0.1925 0.5537 x8
4 Mn 0.0000 0.4414 0.1481 x8
5 Si 0.0000 0.1237 0.7500 x4
6 Si 0.0000 0.3824 0.5573 x8

Results
Fermi-level density of states in states/eV per cell: 26.287
Formation energy from raw total energies in eV/atom: -0.362
Raw total energy in eV for the cell shown: -279.8

---

Entry from Alexandria: a relaxed structure of SrAlSe2 (PBE-GGA).

Lattice parameters (Å, degrees): 6.3073 6.3073 13.7375 90.00 90.00 90.00
Space group I-42d (No. 122)
Symmetry-distinct sites (fractional):
1 Sr 0.0000 0.0000 0.0000 x4
2 Al 0.0000 0.0000 0.5000 x4
3 Se 0.1868 0.2500 0.6250 x8

Results
Fermi-level density of states in states/eV per cell: 2.109
Formation energy from raw total energies in eV/atom: -1.007
Raw total energy in eV for the cell shown: -65.7

---

Entry from Alexandria: a relaxed structure of CaLuNiRh (PBE-GGA).

Lattice parameters (Å, degrees): 6.7369 6.7369 6.7369 90.00 90.00 90.00
Space group F-43m (No. 216)
Symmetry-distinct sites (fractional):
1 Ca 0.0000 0.0000 0.0000 x4
2 Lu 0.0000 0.0000 0.5000 x4
3 Ni 0.2500 0.2500 0.2500 x4
4 Rh 0.2500 0.2500 0.7500 x4

Results
Fermi-level density of states in states/eV per cell: 10.893
Calculated formation energy in meV/atom: -434
Raw total energy in eV for the cell shown: -85.6

---

Entry from Alexandria: a relaxed structure of Y2HOsRu (PBE-GGA).

Lattice parameters (Å, degrees): 5.3953 5.3953 4.5406 90.00 90.00 90.00
Space group P4/mmm (No. 123)
Symmetry-distinct sites (fractional):
1 Y 0.0000 0.5000 0.0000 x2
2 H 0.0000 0.0000 0.5000 x1
3 Os 0.5000 0.5000 0.5000 x1
4 Ru 0.5000 0.5000 0.0000 x1

Results
Fermi-level density of states in states/eV per cell: 4.219
Raw total energy in eV for the cell shown: -32.7

---

Entry from Alexandria: a relaxed structure of Pm12Nd6Ho (PBE-GGA).

Lattice parameters (Å, degrees): 16.5552 16.5552 8.5200 90.00 90.00 120.00
Space group R-3m (No. 166, hexagonal axes)
Symmetry-distinct sites (fractional):
1 Pm 0.0000 0.3792 0.0000 x18
2 Pm 0.0935 0.5468 0.3140 x18
3 Nd 0.0848 0.1695 0.1464 x18
4 Ho 0.0000 0.0000 0.5000 x3

Results
Energy above the lowest structure with this stoichiometry in meV/atom: 173
Fermi-level density of states in states/eV per cell: 96.082
Calculated formation energy in meV/atom: 304
Raw total energy in eV for the cell shown: -253.2

---

Entry from Alexandria: a relaxed structure of MnCo2SbC (PBE-GGA).

Lattice parameters (Å, degrees): 3.8486 3.8486 3.9215 90.00 90.00 90.00
Space group P4/mmm (No. 123)
Symmetry-distinct sites (fractional):
1 Mn 0.0000 0.0000 0.0000 x1
2 Co 0.0000 0.5000 0.5000 x2
3 Sb 0.5000 0.5000 0.0000 x1
4 C 0.0000 0.0000 0.5000 x1

Results
Fermi-level density of states in states/eV per cell: 4.614
Formation energy from raw total energies in eV/atom: 0.110
Raw total energy in eV for the cell shown: -36.2

---

Entry from Alexandria: a relaxed structure of LaEr3S4 (PBE-GGA).

Lattice parameters (Å, degrees): 7.9712 11.1524 3.8921 90.00 90.00 90.00
Space group Cmmm (No. 65)
Symmetry-distinct sites (fractional):
1 La 0.0000 0.0000 0.0000 x2
2 Er 0.0000 0.5000 0.0000 x2
3 Er 0.2500 0.2500 0.5000 x4
4 S 0.0000 0.2576 0.0000 x4
5 S 0.2341 0.5000 0.5000 x4

Results
Fermi-level density of states in states/eV per cell: 10.118
Formation energy from raw total energies in eV/atom: -1.992
Raw total energy in eV for the cell shown: -102.1

---

Entry from Alexandria: a relaxed structure of BeAl2CrRh (PBE-GGA).

Lattice parameters (Å, degrees): 4.1811 4.1811 3.9747 90.00 90.00 90.00
Space group P4/mmm (No. 123)
Symmetry-distinct sites (fractional):
1 Be 0.0000 0.0000 0.0000 x1
2 Al 0.0000 0.5000 0.0000 x2
3 Cr 0.0000 0.0000 0.5000 x1
4 Rh 0.5000 0.5000 0.5000 x1

Results
Fermi-level density of states in states/eV per cell: 2.848
Calculated formation energy in meV/atom: 317
Raw total energy in eV for the cell shown: -26.6

---

Entry from Alexandria: a relaxed structure of AcCo5Ge3 (PBE-GGA).

Lattice parameters (Å, degrees): 3.8890 12.2195 11.6429 90.00 90.00 90.00
Space group Cmcm (No. 63)
Symmetry-distinct sites (fractional):
1 Ac 0.0000 0.1788 0.2500 x4
2 Co 0.0000 0.0000 0.0000 x4
3 Co 0.0000 0.1891 0.5640 x8
4 Co 0.0000 0.4541 0.1450 x8
5 Ge 0.0000 0.0996 0.7500 x4
6 Ge 0.0000 0.3767 0.5383 x8

Results
Fermi-level density of states in states/eV per cell: 41.288
Calculated formation energy in meV/atom: -310
Raw total energy in eV for the cell shown: -225.1

---

Entry from Alexandria: a relaxed structure of PrMgSiAg (PBE-GGA).

Lattice parameters (Å, degrees): 7.0632 7.0632 7.0632 90.00 90.00 90.00
Space group F-43m (No. 216)
Symmetry-distinct sites (fractional):
1 Pr 0.0000 0.0000 0.0000 x4
2 Mg 0.0000 0.0000 0.5000 x4
3 Si 0.2500 0.2500 0.7500 x4
4 Ag 0.2500 0.2500 0.2500 x4

Results
Fermi-level density of states in states/eV per cell: 6.125
Formation energy from raw total energies in eV/atom: -0.297
Raw total energy in eV for the cell shown: -63.3

---

Entry from Alexandria: a relaxed structure of YScV2Sb (PBE-GGA).

Lattice parameters (Å, degrees): 4.7875 4.7875 5.5929 90.00 90.00 90.00
Space group P4/mmm (No. 123)
Symmetry-distinct sites (fractional):
1 Y 0.0000 0.0000 0.0000 x1
2 Sc 0.5000 0.5000 0.5000 x1
3 V 0.0000 0.5000 0.0000 x2
4 Sb 0.0000 0.0000 0.5000 x1

Results
Fermi-level density of states in states/eV per cell: 7.664
Formation energy from raw total energies in eV/atom: 1.279
Raw total energy in eV for the cell shown: -28.8

---

Entry from Alexandria: a relaxed structure of SrNi2P (PBE-GGA).

Lattice parameters (Å, degrees): 4.2144 4.2144 3.7495 90.00 90.00 90.00
Space group P4/mmm (No. 123)
Symmetry-distinct sites (fractional):
1 Sr 0.0000 0.0000 0.0000 x1
2 Ni 0.0000 0.5000 0.5000 x2
3 P 0.5000 0.5000 0.0000 x1

Results
Fermi-level density of states in states/eV per cell: 4.441
Calculated formation energy in meV/atom: 202
Raw total energy in eV for the cell shown: -17.8

---

no.,total magnetic moment (μB per atom)
1,0.800
2,0.000
3,0.000
4,0.116
5,0.000
6,0.448
7,0.000
8,0.442
9,0.263
10,0.000
11,0.909
12,0.000